## Na2AcTlBi2 (PBE)

Data for an optimized crystal structure of Na2AcTlBi2.

Structure (CIF):
```
data_Na2AcTlBi2
_chemical_formula_sum 'Na4 Ac2 Tl2 Bi4'
_space_group_name_H-M_alt 'P m c 21'
_space_group_IT_number 26
_cell_length_a 4.725
_cell_length_b 9.766
_cell_length_c 9.128
_cell_angle_alpha 90.00
_cell_angle_beta 90.00
_cell_angle_gamma 90.00
loop_
_space_group_symop_operation_xyz
'x,y,z'
'-x,-y,z+1/2'
'-x,y,z'
'x,-y,z+1/2'
loop_
_atom_site_label
_atom_site_type_symbol
_atom_site_fract_x
_atom_site_fract_y
_atom_site_fract_z
_atom_site_occupancy
Na1 Na 0.000 0.078 0.000 1
Na2 Na 0.500 0.191 0.302 1
Ac1 Ac 0.500 0.428 0.887 1
Tl1 Tl 0.000 0.265 0.550 1
Bi1 Bi 0.000 0.416 0.166 1
Bi2 Bi 0.500 0.122 0.737 1
```

Summary:
Its energy of formation is -445 meV per atom. The value obtained for the total moment is 0.000 μB per atom.

=====

## NaAcTlBi (PBE)

Data for an optimized crystal structure of NaAcTlBi.

Structure (CIF):
```
data_NaAcTlBi
_chemical_formula_sum 'Na4 Ac4 Tl4 Bi4'
_space_group_name_H-M_alt 'F -4 3 m'
_space_group_IT_number 216
_space_group_name_Hall 'F -4 2 3'
_cell_length_a 8.084
_cell_length_b 8.084
_cell_length_c 8.084
_cell_angle_alpha 90.00
_cell_angle_beta 90.00
_cell_angle_gamma 90.00
loop_
_atom_site_label
_atom_site_type_symbol
_atom_site_fract_x
_atom_site_fract_y
_atom_site_fract_z
_atom_site_occupancy
Na1 Na 0.000 0.000 0.000 1
Ac1 Ac 0.000 0.000 0.500 1
Tl1 Tl 0.250 0.250 0.750 1
Bi1 Bi 0.250 0.250 0.250 1
```

Summary:
Its energy of formation is -386 meV per atom. The value obtained for the total moment is 0.000 μB per atom.

=====

## NaAcZnBi (PBE)

Data for an optimized crystal structure of NaAcZnBi.

Structure (CIF):
```
data_NaAcZnBi
_chemical_formula_sum 'Na4 Ac4 Zn4 Bi4'
_space_group_name_H-M_alt 'F -4 3 m'
_space_group_IT_number 216
_space_group_name_Hall 'F -4 2 3'
_cell_length_a 7.906
_cell_length_b 7.906
_cell_length_c 7.906
_cell_angle_alpha 90.00
_cell_angle_beta 90.00
_cell_angle_gamma 90.00
loop_
_atom_site_label
_atom_site_type_symbol
_atom_site_fract_x
_atom_site_fract_y
_atom_site_fract_z
_atom_site_occupancy
Na1 Na 0.000 0.000 0.000 1
Ac1 Ac 0.000 0.000 0.500 1
Zn1 Zn 0.250 0.250 0.250 1
Bi1 Bi 0.250 0.250 0.750 1
```

Summary:
Its energy of formation is -342 meV per atom. The value obtained for the total moment is 0.000 μB per atom.

=====

## AcNbBi2 (PBE)

Data for an optimized crystal structure of AcNbBi2.

Structure (CIF):
```
data_AcNbBi2
_chemical_formula_sum 'Ac1 Nb1 Bi2'
_space_group_name_H-M_alt 'P 4/m m m'
_space_group_IT_number 123
_space_group_name_Hall '-P 4 2'
_cell_length_a 5.468
_cell_length_b 5.468
_cell_length_c 4.033
_cell_angle_alpha 90.00
_cell_angle_beta 90.00
_cell_angle_gamma 90.00
loop_
_atom_site_label
_atom_site_type_symbol
_atom_site_fract_x
_atom_site_fract_y
_atom_site_fract_z
_atom_site_occupancy
Ac1 Ac 0.000 0.000 0.000 1
Nb1 Nb 0.500 0.500 0.000 1
Bi1 Bi 0.000 0.500 0.500 1
```

Summary:
Its energy of formation is 119 meV per atom. Its energy above the most stable polymorph in this dataset is 1.02 eV/f.u. The value obtained for the total moment is 0.592 μB per atom.

=====

## Ac2NbBi (PBE)

Data for an optimized crystal structure of Ac2NbBi.

Structure (CIF):
```
data_Ac2NbBi
_chemical_formula_sum 'Ac2 Nb1 Bi1'
_space_group_name_H-M_alt 'P 4/m m m'
_space_group_IT_number 123
_space_group_name_Hall '-P 4 2'
_cell_length_a 5.463
_cell_length_b 5.463
_cell_length_c 4.402
_cell_angle_alpha 90.00
_cell_angle_beta 90.00
_cell_angle_gamma 90.00
loop_
_atom_site_label
_atom_site_type_symbol
_atom_site_fract_x
_atom_site_fract_y
_atom_site_fract_z
_atom_site_occupancy
Ac1 Ac 0.000 0.500 0.000 1
Nb1 Nb 0.000 0.000 0.500 1
Bi1 Bi 0.500 0.500 0.500 1
```

Summary:
Its energy of formation is 87 meV per atom. Its energy above the most stable polymorph in this dataset is 0.00 eV/f.u. The value obtained for the total moment is 0.564 μB per atom.

=====

## Ac2NbBi (PBE)

Data for an optimized crystal structure of Ac2NbBi.

Structure (CIF):
```
data_Ac2NbBi
_chemical_formula_sum 'Ac6 Nb3 Bi3'
_space_group_name_H-M_alt 'R -3 m'
_space_group_IT_number 166
_space_group_name_Hall '-R 3 2"'
_cell_length_a 3.5091
_cell_length_b 3.5091
_cell_length_c 37.0122
_cell_angle_alpha 90.00
_cell_angle_beta 90.00
_cell_angle_gamma 120.00
loop_
_atom_site_label
_atom_site_type_symbol
_atom_site_fract_x
_atom_site_fract_y
_atom_site_fract_z
_atom_site_occupancy
Ac1 Ac 0.0000 0.0000 0.0840 1
Nb1 Nb 0.0000 0.0000 0.0000 1
Bi1 Bi 0.0000 0.0000 0.5000 1
```

Summary:
Its energy of formation is 618 meV per atom. Its energy above the most stable polymorph in this dataset is 2.13 eV/f.u. The value obtained for the total moment is 0.287 μB per atom.

=====

## AcNbBi2 (PBE)

Data for an optimized crystal structure of AcNbBi2.

Structure (CIF):
```
data_AcNbBi2
_chemical_formula_sum 'Ac1 Nb1 Bi2'
_space_group_name_H-M_alt 'P 4/m m m'
_space_group_IT_number 123
_space_group_name_Hall '-P 4 2'
_cell_length_a 3.700
_cell_length_b 3.700
_cell_length_c 8.202
_cell_angle_alpha 90.00
_cell_angle_beta 90.00
_cell_angle_gamma 90.00
loop_
_atom_site_label
_atom_site_type_symbol
_atom_site_fract_x
_atom_site_fract_y
_atom_site_fract_z
_atom_site_occupancy
Ac1 Ac 0.000 0.000 0.000 1
Nb1 Nb 0.000 0.000 0.500 1
Bi1 Bi 0.500 0.500 0.297 1
```

Summary:
Its energy of formation is -135 meV per atom. Its energy above the most stable polymorph in this dataset is 0.00 eV/f.u. The value obtained for the total moment is 0.000 μB per atom.

=====

## AcNbBi2 (PBE)

Data for an optimized crystal structure of AcNbBi2.

Structure (CIF):
```
data_AcNbBi2
_chemical_formula_sum 'Ac3 Nb3 Bi6'
_space_group_name_H-M_alt 'R -3 m'
_space_group_IT_number 166
_space_group_name_Hall '-R 3 2"'
_cell_length_a 3.4707
_cell_length_b 3.4707
_cell_length_c 35.3364
_cell_angle_alpha 90.00
_cell_angle_beta 90.00
_cell_angle_gamma 120.00
loop_
_atom_site_label
_atom_site_type_symbol
_atom_site_fract_x
_atom_site_fract_y
_atom_site_fract_z
_atom_site_occupancy
Ac1 Ac 0.0000 0.0000 0.0000 1
Nb1 Nb 0.0000 0.0000 0.5000 1
Bi1 Bi 0.0000 0.0000 0.4181 1
```

Summary:
Its energy of formation is 493 meV per atom. Its energy above the most stable polymorph in this dataset is 2.51 eV/f.u. The value obtained for the total moment is 0.315 μB per atom.

=====

## AcNbBi3 (PBE)

Data for an optimized crystal structure of AcNbBi3.

Structure (CIF):
```
data_AcNbBi3
_chemical_formula_sum 'Ac1 Nb1 Bi3'
_space_group_name_H-M_alt 'P m -3 m'
_space_group_IT_number 221
_space_group_name_Hall '-P 4 2 3'
_cell_length_a 5.561
_cell_length_b 5.561
_cell_length_c 5.561
_cell_angle_alpha 90.00
_cell_angle_beta 90.00
_cell_angle_gamma 90.00
loop_
_atom_site_label
_atom_site_type_symbol
_atom_site_fract_x
_atom_site_fract_y
_atom_site_fract_z
_atom_site_occupancy
Ac1 Ac 0.000 0.000 0.000 1
Nb1 Nb 0.500 0.500 0.500 1
Bi1 Bi 0.000 0.500 0.500 1
```

Summary:
Its energy of formation is 24 meV per atom. The value obtained for the total moment is 0.000 μB per atom.

=====

## Ac2NbBiO8 (PBE)

Data for an optimized crystal structure of Ac2NbBiO8.

Structure (CIF):
```
data_Ac2NbBiO8
_chemical_formula_sum 'Ac2 Nb1 Bi1 O8'
_space_group_name_H-M_alt 'P -1'
_space_group_IT_number 2
_cell_length_a 5.274
_cell_length_b 5.291
_cell_length_c 7.071
_cell_angle_alpha 90.79
_cell_angle_beta 90.84
_cell_angle_gamma 92.56
loop_
_space_group_symop_operation_xyz
'x,y,z'
'-x,-y,-z'
loop_
_atom_site_label
_atom_site_type_symbol
_atom_site_fract_x
_atom_site_fract_y
_atom_site_fract_z
_atom_site_occupancy
Ac1 Ac 0.042 0.041 0.257 1
Nb1 Nb 0.500 0.500 0.500 1
Bi1 Bi 0.500 0.500 0.000 1
O1 O 0.218 0.217 0.969 1
O2 O 0.232 0.232 0.534 1
O3 O 0.299 0.641 0.267 1
O4 O 0.358 0.701 0.732 1
```

Summary:
As for the formation energy from raw total energies: -2.30 eV/atom. The value obtained for the total moment is 0.000 μB per atom.

=====

## AcNbBi2O8 (PBE)

Data for an optimized crystal structure of AcNbBi2O8.

Structure (CIF):
```
data_AcNbBi2O8
_chemical_formula_sum 'Ac1 Nb1 Bi2 O8'
_space_group_name_H-M_alt 'P 1 2/m 1'
_space_group_IT_number 10
_cell_length_a 5.165
_cell_length_b 7.140
_cell_length_c 5.166
_cell_angle_alpha 90.00
_cell_angle_beta 91.44
_cell_angle_gamma 90.00
loop_
_space_group_symop_operation_xyz
'x,y,z'
'-x,-y,-z'
'-x,y,-z'
'x,-y,z'
loop_
_atom_site_label
_atom_site_type_symbol
_atom_site_fract_x
_atom_site_fract_y
_atom_site_fract_z
_atom_site_occupancy
Ac1 Ac 0.000 0.000 0.000 1
Nb1 Nb 0.000 0.500 0.000 1
Bi1 Bi 0.500 0.261 0.500 1
O1 O 0.188 0.293 0.187 1
O2 O 0.286 0.500 0.714 1
O3 O 0.327 0.000 0.671 1
```

Summary:
As for the formation energy from raw total energies: -1.92 eV/atom. The value obtained for the total moment is 0.000 μB per atom.

=====

## AcNb2BiO8 (PBE)

Data for an optimized crystal structure of AcNb2BiO8.

Structure (CIF):
```
data_AcNb2BiO8
_chemical_formula_sum 'Ac1 Nb2 Bi1 O8'
_space_group_name_H-M_alt 'P -3 m 1'
_space_group_IT_number 164
_space_group_name_Hall '-P 3 2"'
_cell_length_a 6.2026
_cell_length_b 6.2026
_cell_length_c 7.0421
_cell_angle_alpha 90.00
_cell_angle_beta 90.00
_cell_angle_gamma 120.00
loop_
_atom_site_label
_atom_site_type_symbol
_atom_site_fract_x
_atom_site_fract_y
_atom_site_fract_z
_atom_site_occupancy
Ac1 Ac 0.0000 0.0000 0.0000 1
Nb1 Nb 0.3333 0.6667 0.3357 1
Bi1 Bi 0.0000 0.0000 0.5000 1
O1 O 0.1613 0.3226 0.2584 1
O2 O 0.3333 0.6667 0.5879 1
```

Summary:
As for the formation energy from raw total energies: -2.40 eV/atom. The value obtained for the total moment is 0.000 μB per atom.

=====

## AcNb2BiO7 (PBE)

Data for an optimized crystal structure of AcNb2BiO7.

Structure (CIF):
```
data_AcNb2BiO7
_chemical_formula_sum 'Ac1 Nb2 Bi1 O7'
_space_group_name_H-M_alt 'P 4/m m m'
_space_group_IT_number 123
_space_group_name_Hall '-P 4 2'
_cell_length_a 3.908
_cell_length_b 3.908
_cell_length_c 11.558
_cell_angle_alpha 90.00
_cell_angle_beta 90.00
_cell_angle_gamma 90.00
loop_
_atom_site_label
_atom_site_type_symbol
_atom_site_fract_x
_atom_site_fract_y
_atom_site_fract_z
_atom_site_occupancy
Ac1 Ac 0.000 0.000 0.000 1
Nb1 Nb 0.500 0.500 0.209 1
Bi1 Bi 0.000 0.000 0.500 1
O1 O 0.000 0.500 0.170 1
O2 O 0.500 0.500 0.000 1
O3 O 0.500 0.500 0.367 1
```

Summary:
As for the formation energy from raw total energies: -2.35 eV/atom. The value obtained for the total moment is 0.141 μB per atom.